(1)
Below is a geometry-optimized Tb2SmAl2 structure, with properties calculated at the PBE level.

Computed properties:
ΔE to the lowest computed polymorph ... 0.0000 eV per atom
SG ... P2_1/m (11)
Energy relative to the elements ... -0.30 eV per atom
Total magnetization ... 0.0000 μB per atom

Lattice parameters (Å, degrees): 3.677 5.204 13.647 90.00 97.76 90.00
Element x y z (fractional)
Tb1 0.047 0.250 0.094
Tb2 0.233 0.250 0.466
Tb3 0.767 0.750 0.534
Tb4 0.953 0.750 0.906
Sm1 0.143 0.750 0.288
Sm2 0.857 0.250 0.712
Al1 0.360 0.750 0.718
Al2 0.452 0.250 0.904
Al3 0.548 0.750 0.096
Al4 0.640 0.250 0.282

***

(2)
Below is a geometry-optimized Tb6SmAl6 structure, with properties calculated at the PBE level.

Computed properties:
SG ... Immm (71)
Energy relative to the elements ... -0.31 eV per atom
Total magnetization ... 0.0000 μB per atom

Lattice parameters (Å, degrees): 7.959 7.959 7.959 136.35 99.34 96.55
Element x y z (fractional)
Tb1 0.154 0.500 0.654
Tb2 0.168 0.168 0.000
Tb3 0.320 0.000 0.320
Tb4 0.680 0.000 0.680
Tb5 0.832 0.832 0.000
Tb6 0.846 0.500 0.346
Sm1 0.500 0.500 0.000
Al1 0.000 0.000 0.500
Al2 0.000 0.500 0.000
Al3 0.263 0.763 0.500
Al4 0.500 0.000 0.000
Al5 0.500 0.500 0.500
Al6 0.737 0.237 0.500

***

(3)
Below is a geometry-optimized Tb8SmAl6 structure, with properties calculated at the PBE level.

Computed properties:
SG ... R-3 (148)
Energy relative to the elements ... -0.16 eV per atom
Total magnetization ... 0.0000 μB per atom

Lattice parameters (Å, degrees): 8.055 8.055 8.055 65.61 65.61 65.61
Element x y z (fractional)
Tb1 0.049 0.384 0.718
Tb2 0.167 0.167 0.167
Tb3 0.282 0.951 0.616
Tb4 0.384 0.718 0.049
Tb5 0.616 0.282 0.951
Tb6 0.718 0.049 0.384
Tb7 0.833 0.833 0.833
Tb8 0.951 0.616 0.282
Sm1 0.500 0.500 0.500
Al1 0.112 0.783 0.447
Al2 0.217 0.553 0.888
Al3 0.447 0.112 0.783
Al4 0.553 0.888 0.217
Al5 0.783 0.447 0.112
Al6 0.888 0.217 0.553